Be4Re3 PBEsol relaxed; DOS at the Fermi energy = 0.530 states/eV per atom; formation energy = 34 meV/atom; DFT total energy = -55.76 eV per cell; energy relative to the lowest polymorph listed for this composition = 0 meV per atom
1.0
-0.8492 -2.5822 0.4189
2.4487 -0.6297 1.0824
-4.1942 4.2141 8.4460
Be Re
4 3
Cartesian
-1.7010 0.3155 7.5259
-0.8937 0.6867 2.4213
0.2747 -1.2025 2.1732
-2.8694 2.2047 7.7740
0.0000 0.0000 0.0000
-0.5982 -0.5319 4.5380
-1.9965 1.5341 5.4092